# Pr3Mg7Ag2 | Alexandria | GGA-PBE | relaxed
data_Pr3Mg7Ag2
_space_group_name_H-M_alt 'R -3 m'
_space_group_IT_number 166
_space_group_name_Hall '-R 3 2"'
_cell_length_a 6.0265
_cell_length_b 6.0265
_cell_length_c 28.9918
_cell_angle_alpha 90.00
_cell_angle_beta 90.00
_cell_angle_gamma 120.00
loop_
_atom_site_label
_atom_site_type_symbol
_atom_site_fract_x
_atom_site_fract_y
_atom_site_fract_z
_atom_site_occupancy
Pr1 Pr 0.0000 0.0000 0.0000 1
Pr2 Pr 0.0000 0.0000 0.1446 1
Mg1 Mg 0.0000 0.0000 0.5000 1
Mg2 Mg 0.0024 0.5012 0.9215 1
Ag1 Ag 0.0000 0.0000 0.3339 1
# **DOS at the Fermi energy**: 34.1 states/eV/cell
# **Energy of formation**: -0.15 eV/atom


# CsTh4S8 | Alexandria | GGA-PBE | relaxed
data_CsTh4S8
_space_group_name_H-M_alt 'P 63/m m c'
_space_group_IT_number 194
_space_group_name_Hall '-P 6c 2c'
_cell_length_a 7.9784
_cell_length_b 7.9784
_cell_length_c 18.3431
_cell_angle_alpha 90.00
_cell_angle_beta 90.00
_cell_angle_gamma 120.00
loop_
_atom_site_label
_atom_site_type_symbol
_atom_site_fract_x
_atom_site_fract_y
_atom_site_fract_z
_atom_site_occupancy
Cs1 Cs 0.0000 0.0000 0.0000 1
Th1 Th 0.0000 0.0000 0.2500 1
Th2 Th 0.0056 0.5028 0.2500 1
S1 S 0.1636 0.3271 0.1595 1
S2 S 0.3333 0.6667 0.6614 1
# **Formation energy without anion corrections**: -21.9 eV/f.u.
# **DOS at the Fermi energy**: 10.1 states/eV/cell


# LiScSb2 | Alexandria | GGA-PBE | relaxed
data_LiScSb2
_space_group_name_H-M_alt 'F m -3 m'
_space_group_IT_number 225
_space_group_name_Hall '-F 4 2 3'
_cell_length_a 7.1809
_cell_length_b 7.1809
_cell_length_c 7.1809
_cell_angle_alpha 90.00
_cell_angle_beta 90.00
_cell_angle_gamma 90.00
loop_
_atom_site_label
_atom_site_type_symbol
_atom_site_fract_x
_atom_site_fract_y
_atom_site_fract_z
_atom_site_occupancy
Li1 Li 0.0000 0.0000 0.0000 1
Sc1 Sc 0.0000 0.0000 0.5000 1
Sb1 Sb 0.2500 0.2500 0.2500 1
# **Energy above the most stable polymorph in this dataset**: 159.7 meV/atom
# **Formation energy without anion corrections**: -1.9 eV/f.u.
# **DOS at the Fermi energy**: 16.6 states/eV/cell


# SrCdH3 | Alexandria | GGA-PBE | relaxed
data_SrCdH3
_space_group_name_H-M_alt 'P m -3 m'
_space_group_IT_number 221
_space_group_name_Hall '-P 4 2 3'
_cell_length_a 4.5119
_cell_length_b 4.5119
_cell_length_c 4.5119
_cell_angle_alpha 90.00
_cell_angle_beta 90.00
_cell_angle_gamma 90.00
loop_
_atom_site_label
_atom_site_type_symbol
_atom_site_fract_x
_atom_site_fract_y
_atom_site_fract_z
_atom_site_occupancy
Sr1 Sr 0.0000 0.0000 0.0000 1
Cd1 Cd 0.5000 0.5000 0.5000 1
H1 H 0.0000 0.0000 0.5000 1
# **Energy above the most stable polymorph in this dataset**: 380.6 meV/atom
# **DOS at the Fermi energy**: 1.3 states/eV/cell


# NaFeRe2Se | Alexandria | GGA-PBE | relaxed
data_NaFeRe2Se
_space_group_name_H-M_alt 'P 4/m m m'
_space_group_IT_number 123
_space_group_name_Hall '-P 4 2'
_cell_length_a 4.5754
_cell_length_b 4.5754
_cell_length_c 4.8073
_cell_angle_alpha 90.00
_cell_angle_beta 90.00
_cell_angle_gamma 90.00
loop_
_atom_site_label
_atom_site_type_symbol
_atom_site_fract_x
_atom_site_fract_y
_atom_site_fract_z
_atom_site_occupancy
Na1 Na 0.0000 0.0000 0.0000 1
Fe1 Fe 0.5000 0.5000 0.0000 1
Re1 Re 0.0000 0.5000 0.5000 1
Se1 Se 0.0000 0.0000 0.5000 1
# **Formation energy without anion corrections**: 8.0 eV/f.u.
# **DOS at the Fermi energy**: 6.0 states/eV/cell


# ZnRe2W | Alexandria | GGA-PBE | relaxed
data_ZnRe2W
_space_group_name_H-M_alt 'P 4 m m'
_space_group_IT_number 99
_space_group_name_Hall 'P 4 -2'
_cell_length_a 3.2193
_cell_length_b 3.2193
_cell_length_c 5.7852
_cell_angle_alpha 90.00
_cell_angle_beta 90.00
_cell_angle_gamma 90.00
loop_
_atom_site_label
_atom_site_type_symbol
_atom_site_fract_x
_atom_site_fract_y
_atom_site_fract_z
_atom_site_occupancy
Zn1 Zn 0.0000 0.0000 0.0000 1
Re1 Re 0.0000 0.0000 0.5022 1
Re2 Re 0.5000 0.5000 0.2311 1
W1 W 0.5000 0.5000 0.7526 1
# **DOS at the Fermi energy**: 3.3 states/eV/cell
# **Energy of formation**: 0.32 eV/atom


# Pr3Er8Sc2 | Alexandria | GGA-PBE | relaxed
data_Pr3Er8Sc2
_space_group_name_H-M_alt 'C 1 2/m 1'
_space_group_IT_number 12
_space_group_name_Hall '-C 2y'
_cell_length_a 19.5071
_cell_length_b 7.7351
_cell_length_c 5.5619
_cell_angle_alpha 90.00
_cell_angle_beta 90.02
_cell_angle_gamma 90.00
loop_
_atom_site_label
_atom_site_type_symbol
_atom_site_fract_x
_atom_site_fract_y
_atom_site_fract_z
_atom_site_occupancy
Pr1 Pr 0.0000 0.0000 0.0000 1
Pr2 Pr 0.0000 0.2949 0.5000 1
Er1 Er 0.1151 0.2917 0.0004 1
Er2 Er 0.1373 0.0000 0.5000 1
Er3 Er 0.1788 0.5000 0.5006 1
Sc1 Sc 0.2403 0.0000 0.9995 1
# **DOS at the Fermi energy**: 39.1 states/eV/cell
# **Energy of formation**: 0.25 eV/atom


# YFe3Hg | Alexandria | GGA-PBE | relaxed
data_YFe3Hg
_space_group_name_H-M_alt 'P m -3 m'
_space_group_IT_number 221
_space_group_name_Hall '-P 4 2 3'
_cell_length_a 4.7427
_cell_length_b 4.7427
_cell_length_c 4.7427
_cell_angle_alpha 90.00
_cell_angle_beta 90.00
_cell_angle_gamma 90.00
loop_
_atom_site_label
_atom_site_type_symbol
_atom_site_fract_x
_atom_site_fract_y
_atom_site_fract_z
_atom_site_occupancy
Y1 Y 0.0000 0.0000 0.0000 1
Fe1 Fe 0.0000 0.0000 0.5000 1
Hg1 Hg 0.5000 0.5000 0.5000 1
# **Energy above the most stable polymorph in this dataset**: 595.5 meV/atom
# **DOS at the Fermi energy**: 5.1 states/eV/cell
# **Energy of formation**: 1.69 eV/atom